Density functional theory data (PBE) for a relaxed structure of AcTl2Hg8.

Output
crystal system = monoclinic
ΔE_f = -1.4 eV/f.u.
total energy = -1.15 eV per atom
space group = C2/m (12)
calculated density = 11.636 Mg/m³

Geometry as POSCAR:
```
AcTl2Hg8
1.0
9.730 -3.119 0.000
9.730 3.119 0.000
-0.907 0.000 5.268
Ac Tl Hg
1 2 8
Direct
0.000 0.000 0.000 Ac
0.262 0.262 0.688 Tl
0.738 0.738 0.312 Tl
0.162 0.663 0.446 Hg
0.179 0.179 0.126 Hg
0.337 0.838 0.554 Hg
0.418 0.418 0.957 Hg
0.582 0.582 0.043 Hg
0.663 0.162 0.446 Hg
0.821 0.821 0.874 Hg
0.838 0.337 0.554 Hg
```

Density functional theory data (PBE) for a relaxed structure of AcTl2Hg4.

Output
crystal system = trigonal
ΔE_f = -1.3 eV/f.u.
total energy = -1.62 eV per atom
space group = R-3m (166)
calculated density = 11.374 Mg/m³

Geometry as POSCAR:
```
AcTl2Hg4
1.0
2.661 1.537 8.557
-2.661 1.537 8.557
0.000 -3.073 8.557
Ac Tl Hg
1 2 4
Direct
0.000 0.000 0.000 Ac
0.254 0.254 0.254 Tl
0.746 0.746 0.746 Tl
0.136 0.136 0.136 Hg
0.393 0.393 0.393 Hg
0.607 0.607 0.607 Hg
0.864 0.864 0.864 Hg
```

Density functional theory data (PBE) for a relaxed structure of Ac2TlHg8.

Output
crystal system = triclinic
ΔE_f = -3.1 eV/f.u.
total energy = -1.47 eV per atom
space group = P-1 (2)
calculated density = 11.961 Mg/m³

Geometry as POSCAR:
```
Ac2TlHg8
1.0
5.352 0.000 0.000
0.451 7.230 0.000
1.792 1.734 8.120
Ac Tl Hg
2 1 8
Direct
0.200 0.229 0.149 Ac
0.800 0.771 0.851 Ac
0.000 0.500 0.500 Tl
0.214 0.728 0.115 Hg
0.259 0.885 0.497 Hg
0.301 0.081 0.786 Hg
0.359 0.526 0.756 Hg
0.641 0.474 0.244 Hg
0.699 0.919 0.214 Hg
0.741 0.115 0.503 Hg
0.786 0.272 0.885 Hg
```

Density functional theory data (PBE) for a relaxed structure of Ac2Tl5Hg3.

Output
crystal system = orthorhombic
ΔE_f = -1.6 eV/f.u.
total energy = -2.26 eV per atom
space group = Ibam (72)
calculated density = 11.233 Mg/m³

Geometry as POSCAR:
```
Ac2Tl5Hg3
1.0
-6.364 6.964 3.465
6.364 -6.964 3.465
6.364 6.964 -3.465
Ac Tl Hg
4 10 6
Direct
0.124 0.245 0.369 Ac
0.376 0.745 0.121 Ac
0.624 0.255 0.879 Ac
0.876 0.755 0.631 Ac
0.005 0.750 0.255 Tl
0.121 0.864 0.985 Tl
0.250 0.750 0.500 Tl
0.379 0.364 0.742 Tl
0.495 0.750 0.745 Tl
0.505 0.250 0.255 Tl
0.621 0.636 0.258 Tl
0.750 0.250 0.500 Tl
0.879 0.136 0.015 Tl
0.995 0.250 0.745 Tl
0.124 0.642 0.766 Hg
0.250 0.250 0.000 Hg
0.376 0.142 0.518 Hg
0.624 0.858 0.482 Hg
0.750 0.750 0.000 Hg
0.876 0.358 0.234 Hg
```

Density functional theory data (PBE) for a relaxed structure of Ac4Tl2Hg.

Output
crystal system = trigonal
ΔE_f = -2.0 eV/f.u.
total energy = -3.35 eV per atom
space group = R-3m (166)
calculated density = 9.502 Mg/m³

Geometry as POSCAR:
```
Ac4Tl2Hg
1.0
2.880 1.663 9.229
-2.880 1.663 9.229
0.000 -3.326 9.229
Ac Tl Hg
4 2 1
Direct
0.122 0.122 0.122 Ac
0.373 0.373 0.373 Ac
0.627 0.627 0.627 Ac
0.878 0.878 0.878 Ac
0.249 0.249 0.249 Tl
0.751 0.751 0.751 Tl
0.500 0.500 0.500 Hg
```

Density functional theory data (PBE) for a relaxed structure of AcTlHg4.

Output
crystal system = cubic
ΔE_f = -1.3 eV/f.u.
total energy = -1.49 eV per atom
space group = F-43m (216)
calculated density = 12.138 Mg/m³

Geometry as POSCAR:
```
AcTlHg4
1.0
0.000 4.386 4.386
4.386 0.000 4.386
4.386 4.386 0.000
Ac Tl Hg
1 1 4
Direct
0.000 0.000 0.000 Ac
0.750 0.750 0.750 Tl
0.375 0.375 0.375 Hg
0.375 0.375 0.875 Hg
0.375 0.875 0.375 Hg
0.875 0.375 0.375 Hg
```

Density functional theory data (PBE) for a relaxed structure of Ac3Tl3Hg2.

Output
crystal system = monoclinic
ΔE_f = -2.9 eV/f.u.
total energy = -2.86 eV per atom
space group = C2/m (12)
calculated density = 10.869 Mg/m³

Geometry as POSCAR:
```
Ac3Tl3Hg2
1.0
10.124 -2.421 0.000
10.124 2.421 0.000
-1.453 0.000 5.285
Ac Tl Hg
3 3 2
Direct
0.000 0.000 0.000 Ac
0.145 0.145 0.641 Ac
0.855 0.855 0.359 Ac
0.370 0.370 0.872 Tl
0.500 0.500 0.500 Tl
0.630 0.630 0.128 Tl
0.241 0.241 0.236 Hg
0.759 0.759 0.764 Hg
```

Density functional theory data (PBE) for a relaxed structure of AcTl3Hg3.

Output
crystal system = cubic
ΔE_f = 1.8 eV/f.u.
total energy = -1.47 eV per atom
space group = Pm-3n (223)
calculated density = 9.083 Mg/m³

Geometry as POSCAR:
```
AcTl3Hg3
1.0
8.078 0.000 0.000
0.000 8.078 0.000
0.000 0.000 8.078
Ac Tl Hg
2 6 6
Direct
0.000 0.000 0.000 Ac
0.500 0.500 0.500 Ac
0.000 0.250 0.500 Tl
0.000 0.750 0.500 Tl
0.250 0.500 0.000 Tl
0.500 0.000 0.250 Tl
0.500 0.000 0.750 Tl
0.750 0.500 0.000 Tl
0.000 0.500 0.250 Hg
0.000 0.500 0.750 Hg
0.250 0.000 0.500 Hg
0.500 0.250 0.000 Hg
0.500 0.750 0.000 Hg
0.750 0.000 0.500 Hg
```

Density functional theory data (PBE) for a relaxed structure of AcTl5Hg6.

Output
crystal system = orthorhombic
ΔE_f = -1.5 eV/f.u.
total energy = -1.61 eV per atom
space group = Cmmm (65)
calculated density = 11.763 Mg/m³

Geometry as POSCAR:
```
AcTl5Hg6
1.0
2.565 -7.916 0.000
2.565 7.916 0.000
0.000 0.000 8.525
Ac Tl Hg
1 5 6
Direct
0.000 0.000 0.000 Ac
0.000 0.000 0.500 Tl
0.330 0.670 0.000 Tl
0.332 0.668 0.500 Tl
0.668 0.332 0.500 Tl
0.670 0.330 0.000 Tl
0.169 0.831 0.252 Hg
0.169 0.831 0.748 Hg
0.500 0.500 0.263 Hg
0.500 0.500 0.737 Hg
0.831 0.169 0.252 Hg
0.831 0.169 0.748 Hg
```

Density functional theory data (PBE) for a relaxed structure of Ac8Tl5Hg.

Output
crystal system = tetragonal
ΔE_f = -4.0 eV/f.u.
total energy = -3.50 eV per atom
space group = I-4 (82)
calculated density = 9.559 Mg/m³

Geometry as POSCAR:
```
Ac8Tl5Hg
1.0
-5.085 5.085 5.103
5.085 -5.085 5.103
5.085 5.085 -5.103
Ac Tl Hg
8 5 1
Direct
0.124 0.730 0.752 Ac
0.125 0.229 0.750 Ac
0.270 0.022 0.394 Ac
0.479 0.376 0.250 Ac
0.624 0.875 0.104 Ac
0.628 0.876 0.606 Ac
0.771 0.521 0.896 Ac
0.978 0.372 0.248 Ac
0.251 0.626 0.127 Tl
0.374 0.502 0.625 Tl
0.498 0.124 0.873 Tl
0.750 0.250 0.500 Tl
0.876 0.749 0.375 Tl
0.000 0.000 0.000 Hg
```

Density functional theory data (PBE) for a relaxed structure of Ac8Tl2Hg.

Output
crystal system = monoclinic
ΔE_f = -1.9 eV/f.u.
total energy = -3.62 eV per atom
space group = C2/m (12)
calculated density = 9.193 Mg/m³

Geometry as POSCAR:
```
Ac8Tl2Hg
1.0
10.373 -2.846 0.000
10.373 2.846 0.000
-1.686 0.000 7.419
Ac Tl Hg
8 2 1
Direct
0.018 0.018 0.268 Ac
0.206 0.206 0.819 Ac
0.342 0.342 0.521 Ac
0.409 0.409 0.037 Ac
0.591 0.591 0.963 Ac
0.658 0.658 0.479 Ac
0.794 0.794 0.181 Ac
0.982 0.982 0.732 Ac
0.185 0.185 0.251 Tl
0.815 0.815 0.749 Tl
0.500 0.500 0.500 Hg
```

Density functional theory data (PBE) for a relaxed structure of Ac3Tl3Hg8.

Output
crystal system = orthorhombic
ΔE_f = -4.2 eV/f.u.
total energy = -1.86 eV per atom
space group = Immm (71)
calculated density = 11.981 Mg/m³

Geometry as POSCAR:
```
Ac3Tl3Hg8
1.0
-2.548 5.224 7.545
2.548 -5.224 7.545
2.548 5.224 -7.545
Ac Tl Hg
3 3 8
Direct
0.000 0.000 0.000 Ac
0.295 0.295 0.000 Ac
0.705 0.705 0.000 Ac
0.311 0.500 0.811 Tl
0.500 0.000 0.500 Tl
0.689 0.500 0.189 Tl
0.021 0.656 0.365 Hg
0.127 0.849 0.279 Hg
0.290 0.656 0.635 Hg
0.430 0.151 0.279 Hg
0.570 0.849 0.721 Hg
0.710 0.344 0.365 Hg
0.873 0.151 0.721 Hg
0.979 0.344 0.635 Hg
```